# LiLaSm2

An optimized crystal structure of LiLaSm2 (GGA-PBE, the Alexandria database).

Cell lengths 3.582, 3.582, 34.744 Å; angles 90.00, 90.00, 120.00 degrees
Atoms (fractional coordinates):
Li 0.000 0.000 0.000
Li 0.333 0.667 0.667
Li 0.667 0.333 0.333
La 0.000 0.000 0.833
La 0.333 0.667 0.500
La 0.667 0.333 0.167
Sm 0.000 0.000 0.412
Sm 0.000 0.000 0.589
Sm 0.333 0.667 0.078
Sm 0.333 0.667 0.255
Sm 0.667 0.333 0.745
Sm 0.667 0.333 0.922

## Properties
Space-group type: No. 160
Density, Mg/m³: 5.763
Crystal system: trigonal
DOS at the Fermi energy, states/eV/f.u.: 5.71
Offset from the most stable computed form, kJ per mole of atoms: 4.3
Energy of formation, meV per atom: 117
Uncorrected energy, eV per atom: -3.953

---

# Tb6Er12In

An optimized crystal structure of Tb6Er12In (GGA-PBE, the Alexandria database).

Cell lengths 8.395, 8.395, 8.395 Å; angles 88.79, 88.79, 88.79 degrees
Atoms (fractional coordinates):
Tb 0.199 0.594 0.758
Tb 0.242 0.801 0.406
Tb 0.406 0.242 0.801
Tb 0.594 0.758 0.199
Tb 0.758 0.199 0.594
Tb 0.801 0.406 0.242
Er 0.040 0.278 0.935
Er 0.065 0.960 0.722
Er 0.140 0.311 0.488
Er 0.278 0.935 0.040
Er 0.311 0.488 0.140
Er 0.488 0.140 0.311
Er 0.512 0.860 0.689
Er 0.689 0.512 0.860
Er 0.722 0.065 0.960
Er 0.860 0.689 0.512
Er 0.935 0.040 0.278
Er 0.960 0.722 0.065
In 0.500 0.500 0.500

## Properties
Space-group type: No. 148
Density, Mg/m³: 8.638
Crystal system: trigonal
DOS at the Fermi energy, states/eV/f.u.: 25.59
Offset from the most stable computed form, kJ per mole of atoms: 0.0
Energy of formation, meV per atom: 74
Uncorrected energy, eV per atom: -4.414

---

# Pr4GeSb3

An optimized crystal structure of Pr4GeSb3 (GGA-PBE, the Alexandria database).

Cell lengths 6.372, 6.372, 6.372 Å; angles 90.00, 90.00, 90.00 degrees
Atoms (fractional coordinates):
Pr 0.000 0.000 0.000
Pr 0.000 0.500 0.500
Pr 0.500 0.000 0.500
Pr 0.500 0.500 0.000
Ge 0.500 0.500 0.500
Sb 0.000 0.000 0.500
Sb 0.000 0.500 0.000
Sb 0.500 0.000 0.000

## Properties
Space-group type: No. 221
Density, Mg/m³: 6.427
Crystal system: cubic
DOS at the Fermi energy, states/eV/f.u.: 5.86
Formation energy (no corrections), eV/atom: -1.03
Uncorrected energy, eV per atom: -5.547

---

# NbHg2Bi

An optimized crystal structure of NbHg2Bi (GGA-PBE, the Alexandria database).

Cell lengths 8.297, 8.297, 5.784 Å; angles 90.00, 90.00, 90.00 degrees
Atoms (fractional coordinates):
Nb 0.000 0.000 0.000
Nb 0.000 0.500 0.250
Nb 0.500 0.000 0.750
Nb 0.500 0.500 0.500
Hg 0.222 0.250 0.125
Hg 0.250 0.722 0.375
Hg 0.250 0.778 0.875
Hg 0.278 0.250 0.625
Hg 0.722 0.750 0.625
Hg 0.750 0.222 0.875
Hg 0.750 0.278 0.375
Hg 0.778 0.750 0.125
Bi 0.000 0.000 0.500
Bi 0.000 0.500 0.750
Bi 0.500 0.000 0.250
Bi 0.500 0.500 0.000

## Properties
Space-group type: No. 122
Density, Mg/m³: 11.730
Crystal system: tetragonal
DOS at the Fermi energy, states/eV/f.u.: 1.73
Energy of formation, meV per atom: 484
Uncorrected energy, eV per atom: -3.155

---

# KMoAu2

An optimized crystal structure of KMoAu2 (GGA-PBE, the Alexandria database).

Cell lengths 7.036, 7.036, 7.036 Å; angles 90.00, 90.00, 90.00 degrees
Atoms (fractional coordinates):
K 0.000 0.000 0.000
K 0.000 0.500 0.500
K 0.500 0.000 0.500
K 0.500 0.500 0.000
Mo 0.250 0.250 0.750
Mo 0.250 0.750 0.250
Mo 0.750 0.250 0.250
Mo 0.750 0.750 0.750
Au 0.000 0.000 0.500
Au 0.000 0.500 0.000
Au 0.250 0.250 0.250
Au 0.250 0.750 0.750
Au 0.500 0.000 0.000
Au 0.500 0.500 0.500
Au 0.750 0.250 0.750
Au 0.750 0.750 0.250

## Properties
Space-group type: No. 216
Density, Mg/m³: 10.085
Crystal system: cubic
DOS at the Fermi energy, states/eV/f.u.: 2.84
Offset from the most stable computed form, kJ per mole of atoms: 60.7
Energy of formation, meV per atom: 915
Uncorrected energy, eV per atom: -3.706

---

# InTe2W

An optimized crystal structure of InTe2W (GGA-PBE, the Alexandria database).

Cell lengths 3.303, 3.313, 9.805 Å; angles 90.00, 93.02, 90.00 degrees
Atoms (fractional coordinates):
In 0.000 0.000 0.000
Te 0.026 0.500 0.670
Te 0.974 0.500 0.330
W 0.500 0.000 0.500

## Properties
Space-group type: No. 10
Density, Mg/m³: 8.586
Crystal system: monoclinic
DOS at the Fermi energy, states/eV/f.u.: 2.95
Formation energy (no corrections), eV/atom: 0.22
Uncorrected energy, eV per atom: -5.272

---

# BTeP2Cl

An optimized crystal structure of BTeP2Cl (GGA-PBE, the Alexandria database).

Cell lengths 4.430, 4.430, 4.189 Å; angles 90.00, 90.00, 90.00 degrees
Atoms (fractional coordinates):
B 0.000 0.000 0.000
Te 0.500 0.500 0.500
P 0.000 0.500 0.000
P 0.500 0.000 0.000
Cl 0.000 0.000 0.500

## Properties
Space-group type: No. 123
Density, Mg/m³: 4.764
Crystal system: tetragonal
DOS at the Fermi energy, states/eV/f.u.: 3.24
Offset from the most stable computed form, kJ per mole of atoms: 0.0
Formation energy (no corrections), eV/atom: 0.72
Uncorrected energy, eV per atom: -3.782

---

# Ni2BiAs2

An optimized crystal structure of Ni2BiAs2 (GGA-PBE, the Alexandria database).

Cell lengths 7.433, 7.433, 3.176 Å; angles 90.00, 90.00, 90.00 degrees
Atoms (fractional coordinates):
Ni 0.122 0.378 0.000
Ni 0.378 0.878 0.000
Ni 0.622 0.122 0.000
Ni 0.878 0.622 0.000
Bi 0.000 0.000 0.000
Bi 0.500 0.500 0.000
As 0.138 0.638 0.500
As 0.362 0.138 0.500
As 0.638 0.862 0.500
As 0.862 0.362 0.500

## Properties
Space-group type: No. 127
Density, Mg/m³: 9.013
Crystal system: tetragonal
DOS at the Fermi energy, states/eV/f.u.: 3.57
Offset from the most stable computed form, kJ per mole of atoms: 5.3
Energy of formation, meV per atom: 69
Uncorrected energy, eV per atom: -4.880

---

# ReTeCl4

An optimized crystal structure of ReTeCl4 (GGA-PBE, the Alexandria database).

Cell lengths 5.814, 5.814, 5.814 Å; angles 60.00, 60.00, 60.00 degrees
Atoms (fractional coordinates):
Re 0.000 0.000 0.000
Te 0.750 0.750 0.750
Cl 0.374 0.374 0.374
Cl 0.374 0.374 0.877
Cl 0.374 0.877 0.374
Cl 0.877 0.374 0.374

## Properties
Space-group type: No. 216
Density, Mg/m³: 5.445
Crystal system: cubic
DOS at the Fermi energy, states/eV/f.u.: 2.06
Formation energy (no corrections), eV/atom: 1.31
Uncorrected energy, eV per atom: -2.519

---

# Cs2TlRhI6

An optimized crystal structure of Cs2TlRhI6 (GGA-PBE, the Alexandria database).

Cell lengths 8.512, 8.512, 8.512 Å; angles 60.00, 60.00, 60.00 degrees
Atoms (fractional coordinates):
Cs 0.250 0.250 0.250
Cs 0.750 0.750 0.750
Tl 0.000 0.000 0.000
Rh 0.500 0.500 0.500
I 0.274 0.274 0.726
I 0.274 0.726 0.274
I 0.274 0.726 0.726
I 0.726 0.274 0.274
I 0.726 0.274 0.726
I 0.726 0.726 0.274

## Properties
Space-group type: No. 225
Density, Mg/m³: 5.081
Crystal system: cubic
DOS at the Fermi energy, states/eV/f.u.: 0.00
Formation energy (no corrections), eV/atom: -0.83
Uncorrected energy, eV per atom: -2.899

---

# MgBeW2

An optimized crystal structure of MgBeW2 (GGA-PBE, the Alexandria database).

Cell lengths 3.529, 4.166, 8.017 Å; angles 90.00, 90.00, 90.00 degrees
Atoms (fractional coordinates):
Mg 0.000 0.000 0.000
Mg 0.500 0.500 0.000
Be 0.000 0.000 0.500
Be 0.500 0.500 0.500
W 0.000 0.500 0.292
W 0.000 0.500 0.708
W 0.500 0.000 0.292
W 0.500 0.000 0.708

## Properties
Space-group type: No. 65
Density, Mg/m³: 11.298
Crystal system: orthorhombic
DOS at the Fermi energy, states/eV/f.u.: 1.26
Offset from the most stable computed form, kJ per mole of atoms: 1.9
Energy of formation, meV per atom: 313
Uncorrected energy, eV per atom: -7.494

---

# Ga2Ge2Ir

An optimized crystal structure of Ga2Ge2Ir (GGA-PBE, the Alexandria database).

Cell lengths 6.398, 6.398, 4.503 Å; angles 90.00, 90.00, 90.00 degrees
Atoms (fractional coordinates):
Ga 0.180 0.320 0.000
Ga 0.320 0.820 0.000
Ga 0.680 0.180 0.000
Ga 0.820 0.680 0.000
Ge 0.141 0.641 0.500
Ge 0.359 0.141 0.500
Ge 0.641 0.859 0.500
Ge 0.859 0.359 0.500
Ir 0.000 0.000 0.500
Ir 0.500 0.500 0.500

## Properties
Space-group type: No. 127
Density, Mg/m³: 8.592
Crystal system: tetragonal
DOS at the Fermi energy, states/eV/f.u.: 2.39
Energy of formation, meV per atom: 69
Uncorrected energy, eV per atom: -4.761

---

# RhF

An optimized crystal structure of RhF (GGA-PBE, the Alexandria database).

Cell lengths 5.161, 5.161, 5.161 Å; angles 90.00, 90.00, 90.00 degrees
Atoms (fractional coordinates):
Rh 0.000 0.000 0.000
Rh 0.000 0.500 0.500
Rh 0.500 0.000 0.500
Rh 0.500 0.500 0.000
F 0.250 0.250 0.250
F 0.250 0.750 0.750
F 0.750 0.250 0.750
F 0.750 0.750 0.250

## Properties
Space-group type: No. 216
Density, Mg/m³: 5.889
Crystal system: cubic
DOS at the Fermi energy, states/eV/f.u.: 0.39
Offset from the most stable computed form, kJ per mole of atoms: 78.6
Formation energy (no corrections), eV/atom: 0.16
Uncorrected energy, eV per atom: -4.453

---

# Rb2Np2PtS6

An optimized crystal structure of Rb2Np2PtS6 (GGA-PBE, the Alexandria database).

Cell lengths 6.644, 6.644, 8.268 Å; angles 97.75, 97.75, 119.61 degrees
Atoms (fractional coordinates):
Rb 0.167 0.833 0.000
Rb 0.833 0.167 0.000
Np 0.332 0.668 0.500
Np 0.668 0.332 0.500
Pt 0.000 0.000 0.500
S 0.065 0.386 0.686
S 0.248 0.248 0.322
S 0.386 0.065 0.686
S 0.614 0.935 0.314
S 0.752 0.752 0.678
S 0.935 0.614 0.314

## Properties
Space-group type: No. 12
Density, Mg/m³: 5.609
Crystal system: monoclinic
DOS at the Fermi energy, states/eV/f.u.: 17.50
Formation energy (no corrections), eV/atom: -1.04
Uncorrected energy, eV per atom: -6.372

---

# TmScIrAu

An optimized crystal structure of TmScIrAu (GGA-PBE, the Alexandria database).

Cell lengths 3.390, 3.390, 6.846 Å; angles 90.00, 90.00, 90.00 degrees
Atoms (fractional coordinates):
Tm 0.000 0.000 0.000
Sc 0.000 0.000 0.534
Ir 0.500 0.500 0.752
Au 0.500 0.500 0.283

## Properties
Space-group type: No. 99
Density, Mg/m³: 12.730
Crystal system: tetragonal
DOS at the Fermi energy, states/eV/f.u.: 5.16
Offset from the most stable computed form, kJ per mole of atoms: 0.0
Energy of formation, meV per atom: -885
Uncorrected energy, eV per atom: -6.620

---

# Ce2PrTl2Cd2

An optimized crystal structure of Ce2PrTl2Cd2 (GGA-PBE, the Alexandria database).

Cell lengths 9.724, 9.724, 9.724 Å; angles 29.02, 29.02, 29.02 degrees
Atoms (fractional coordinates):
Ce 0.147 0.147 0.147
Ce 0.853 0.853 0.853
Pr 0.000 0.000 0.000
Tl 0.271 0.271 0.271
Tl 0.729 0.729 0.729
Cd 0.425 0.425 0.425
Cd 0.575 0.575 0.575

## Properties
Space-group type: No. 166
Density, Mg/m³: 9.149
Crystal system: trigonal
DOS at the Fermi energy, states/eV/f.u.: 12.32
Energy of formation, meV per atom: -155
Uncorrected energy, eV per atom: -3.471

---

# Pm2PrNd6Sm3

An optimized crystal structure of Pm2PrNd6Sm3 (GGA-PBE, the Alexandria database).

Cell lengths 6.356, 6.356, 12.150 Å; angles 95.03, 95.03, 120.00 degrees
Atoms (fractional coordinates):
Pm 0.167 0.833 0.000
Pm 0.833 0.167 0.000
Pr 0.500 0.500 0.000
Nd 0.082 0.416 0.749
Nd 0.250 0.250 0.251
Nd 0.416 0.082 0.749
Nd 0.584 0.918 0.251
Nd 0.750 0.750 0.749
Nd 0.918 0.584 0.251
Sm 0.000 0.000 0.500
Sm 0.333 0.667 0.500
Sm 0.667 0.333 0.500

## Properties
Space-group type: No. 12
Density, Mg/m³: 6.933
Crystal system: monoclinic
DOS at the Fermi energy, states/eV/f.u.: 18.47
Energy of formation, meV per atom: 13
Uncorrected energy, eV per atom: -4.741

---

# Na2TcPbO6

An optimized crystal structure of Na2TcPbO6 (GGA-PBE, the Alexandria database).

Cell lengths 5.837, 5.837, 5.837 Å; angles 58.63, 58.63, 58.63 degrees
Atoms (fractional coordinates):
Na 0.000 0.000 0.000
Na 0.499 0.499 0.499
Tc 0.220 0.220 0.220
Pb 0.736 0.736 0.736
O 0.100 0.875 0.408
O 0.328 0.533 0.981
O 0.408 0.100 0.875
O 0.533 0.981 0.328
O 0.875 0.408 0.100
O 0.981 0.328 0.533

## Properties
Space-group type: No. 146
Density, Mg/m³: 5.450
Crystal system: trigonal
DOS at the Fermi energy, states/eV/f.u.: 3.39
Formation energy (no corrections), eV/atom: -1.30
Uncorrected energy, eV per atom: -5.947

---

# AlAgB2

An optimized crystal structure of AlAgB2 (GGA-PBE, the Alexandria database).

Cell lengths 3.541, 3.541, 16.899 Å; angles 90.00, 90.00, 90.00 degrees
Atoms (fractional coordinates):
Al 0.000 0.250 0.375
Al 0.000 0.750 0.625
Al 0.500 0.250 0.125
Al 0.500 0.750 0.875
Ag 0.000 0.250 0.875
Ag 0.000 0.750 0.125
Ag 0.500 0.250 0.625
Ag 0.500 0.750 0.375
B 0.000 0.000 0.500
B 0.000 0.500 0.500
B 0.250 0.250 0.250
B 0.250 0.750 0.750
B 0.500 0.000 0.000
B 0.500 0.500 0.000
B 0.750 0.250 0.250
B 0.750 0.750 0.750

## Properties
Space-group type: No. 141
Density, Mg/m³: 4.905
Crystal system: tetragonal
DOS at the Fermi energy, states/eV/f.u.: 1.08
Energy of formation, meV per atom: 806
Uncorrected energy, eV per atom: -4.181

---

# ZrInI5

An optimized crystal structure of ZrInI5 (GGA-PBE, the Alexandria database).

Cell lengths 9.614, 9.614, 11.045 Å; angles 109.62, 109.62, 52.40 degrees
Atoms (fractional coordinates):
Zr 0.000 0.000 0.000
Zr 0.000 0.000 0.500
In 0.418 0.582 0.750
In 0.582 0.418 0.250
I 0.096 0.652 0.864
I 0.098 0.651 0.488
I 0.132 0.868 0.250
I 0.348 0.904 0.636
I 0.349 0.902 0.012
I 0.651 0.098 0.988
I 0.652 0.096 0.364
I 0.868 0.132 0.750
I 0.902 0.349 0.512
I 0.904 0.348 0.136

## Properties
Space-group type: No. 15
Density, Mg/m³: 3.722
Crystal system: monoclinic
Formation energy (no corrections), eV/atom: -0.75
Uncorrected energy, eV per atom: -3.468